(1)
VASP calculation (GGA-PBE) on an optimized crystal structure of KPrZnSe3.

Properties
* uncorrected energy: -51.6 eV for the cell shown

a = 9.2657 Å, b = 4.2562 Å, c = 9.9417 Å
α = 90.00°, β = 105.59°, γ = 90.00°
With the nearest neighbours (Å) after each atom.
Space group P2_1/m (No. 11)
Symmetry-distinct sites (fractional):
K (0.1986, 0.2500, 0.2279)  7 Se 3.36-3.67
Pr (0.3304, 0.7500, 0.8534)  6 Se 2.95-3.15
Zn (0.0825, 0.2500, 0.6057)  4 Se 2.44-2.58
Se (0.1032, 0.2500, 0.8558)  1 Zn 2.44
Se (0.1943, 0.7500, 0.5274)  3 Zn 2.55-2.58
Se (0.4509, 0.7500, 0.1602)  3 Pr 2.95-2.97


(2)
VASP calculation (GGA-PBE) on an optimized crystal structure of K3Pr3ZrSe8.

Properties
* uncorrected energy: -236.7 eV for the cell shown

a = 8.5320 Å, b = 8.5320 Å, c = 23.5517 Å
α = 90.00°, β = 90.00°, γ = 120.00°
With the nearest neighbours (Å) after each atom.
Space group R-3m (No. 166, hexagonal axes)
Symmetry-distinct sites (fractional):
K (0.0000, 0.5000, 0.0000)  6 Se 3.34-3.35
Pr (0.0000, 0.5000, 0.5000)  6 Se 2.98-3.00
Zr (0.0000, 0.0000, 0.5000)  6 Se 2.76
Se (0.0000, 0.0000, 0.2378)  3 Pr 2.98
Se (0.0252, 0.5126, 0.2331)  1 Zr 2.76, 2 Pr 3.00


(3)
VASP calculation (GGA-PBE) on an optimized crystal structure of K4Pr3ZrSe8.

Properties
* uncorrected energy: -243.1 eV for the cell shown

a = 8.5316 Å, b = 8.5316 Å, c = 23.1992 Å
α = 90.00°, β = 90.00°, γ = 120.00°
With the nearest neighbours (Å) after each atom.
Space group R-3m (No. 166, hexagonal axes)
Symmetry-distinct sites (fractional):
K (0.0000, 0.0000, 0.0000)  6 Se 3.46
K (0.0000, 0.5000, 0.0000)  6 Se 3.29
Pr (0.0000, 0.5000, 0.5000)  6 Se 2.98-3.01
Zr (0.0000, 0.0000, 0.5000)  6 Se 2.81
Se (0.0000, 0.0000, 0.2394)  3 Pr 2.98, 3 K 3.29
Se (0.0213, 0.5107, 0.2357)  1 Zr 2.81, 2 Pr 3.01


(4)
VASP calculation (GGA-PBE) on an optimized crystal structure of KPr2Sm.

Properties
* formation energy from the elements: 0.182 eV/atom
* uncorrected energy: -43.9 eV for the cell shown

a = 3.7005 Å, b = 3.7005 Å, c = 40.6795 Å
α = 90.00°, β = 90.00°, γ = 120.00°
With the nearest neighbours (Å) after each atom.
Space group R-3m (No. 166, hexagonal axes)
Symmetry-distinct sites (fractional):
K (0.0000, 0.0000, 0.0000)  6 K 3.70, 2 Pr 3.86
Pr (0.0000, 0.0000, 0.0948)  3 Sm 3.62, 6 Pr 3.70, 1 K 3.86
Sm (0.0000, 0.0000, 0.5000)  6 Pr 3.62, 6 Sm 3.70


(5)
VASP calculation (GGA-PBE) on an optimized crystal structure of KPrSm2.

Properties
* formation energy from the elements: 0.218 eV/atom
* uncorrected energy: -43.3 eV for the cell shown

a = 3.6736 Å, b = 3.6736 Å, c = 40.4816 Å
α = 90.00°, β = 90.00°, γ = 120.00°
With the nearest neighbours (Å) after each atom.
Space group R-3m (No. 166, hexagonal axes)
Symmetry-distinct sites (fractional):
K (0.0000, 0.0000, 0.0000)  6 K 3.67, 2 Sm 3.82
Pr (0.0000, 0.0000, 0.5000)  6 Sm 3.61, 6 Pr 3.67
Sm (0.0000, 0.0000, 0.0944)  3 Pr 3.61, 6 Sm 3.67, 1 K 3.82


(6)
VASP calculation (GGA-PBE) on an optimized crystal structure of KPr2SmTe4.

Properties
* uncorrected energy: -39.0 eV for the cell shown

a = 7.9605 Å, b = 4.5219 Å, c = 7.9818 Å
α = 90.00°, β = 108.62°, γ = 90.00°
With the nearest neighbours (Å) after each atom.
Space group P2/m (No. 10)
Symmetry-distinct sites (fractional):
K (0.0000, 0.0000, 0.0000)  6 Te 3.28-3.31
Pr (0.5000, 0.0000, 0.5000)  6 Te 3.18-3.20
Pr (0.5000, 0.5000, 0.0000)  6 Te 3.27
Sm (0.0000, 0.5000, 0.5000)  6 Te 3.21
Te (0.2484, 0.0000, 0.7422)  3 Pr 3.20-3.27, 2 Sm 3.21, 1 K 3.28
Te (0.2574, 0.5000, 0.2621)  3 Pr 3.18-3.27, 1 Sm 3.21, 2 K 3.31


(7)
VASP calculation (GGA-PBE) on an optimized crystal structure of KPr2Sm3Te6.

Properties
* uncorrected energy: -120.9 eV for the cell shown

a = 19.8443 Å, b = 4.4817 Å, c = 9.1986 Å
α = 90.00°, β = 103.99°, γ = 90.00°
With the nearest neighbours (Å) after each atom.
Space group C2/m (No. 12)
Symmetry-distinct sites (fractional):
K (0.0000, 0.0000, 0.0000)  6 Te 3.30-3.33
Pr (0.1708, 0.5000, 0.3453)  6 Te 3.19-3.31
Sm (0.0000, 0.0000, 0.5000)  6 Te 3.13-3.15
Sm (0.1636, 0.5000, 0.8236)  6 Te 3.12-3.23
Te (0.0013, 0.5000, 0.2635)  3 Sm 3.13-3.17, 1 Pr 3.27, 2 K 3.30
Te (0.1633, 0.0000, 0.5876)  3 Sm 3.12-3.15, 3 Pr 3.19-3.20
Te (0.1727, 0.0000, 0.0812)  3 Sm 3.16-3.23, 2 Pr 3.31, 1 K 3.33


(8)
VASP calculation (GGA-PBE) on an optimized crystal structure of K4PrSm3Te8.

Properties
* uncorrected energy: -213.2 eV for the cell shown

a = 9.1823 Å, b = 9.1823 Å, c = 24.7772 Å
α = 90.00°, β = 90.00°, γ = 120.00°
With the nearest neighbours (Å) after each atom.
Space group R-3m (No. 166, hexagonal axes)
Symmetry-distinct sites (fractional):
K (0.0000, 0.0000, 0.0000)  6 Te 3.53
K (0.0000, 0.5000, 0.0000)  6 Te 3.56
Pr (0.0000, 0.0000, 0.5000)  6 Te 3.21
Sm (0.0000, 0.5000, 0.5000)  6 Te 3.17-3.18
Te (0.0000, 0.0000, 0.2373)  3 Sm 3.18
Te (0.0039, 0.5019, 0.7620)  2 Sm 3.17, 1 Pr 3.21, 1 K 3.53


(9)
VASP calculation (GGA-PBE) on an optimized crystal structure of KPr3Sm2Te6.

Properties
* uncorrected energy: -120.9 eV for the cell shown

a = 19.8387 Å, b = 4.5086 Å, c = 9.1960 Å
α = 90.00°, β = 103.46°, γ = 90.00°
With the nearest neighbours (Å) after each atom.
Space group C2/m (No. 12)
Symmetry-distinct sites (fractional):
K (0.0000, 0.0000, 0.0000)  6 Te 3.27-3.33
Pr (0.0000, 0.0000, 0.5000)  6 Te 3.18-3.23
Pr (0.1604, 0.5000, 0.8203)  6 Te 3.19-3.31
Sm (0.1679, 0.5000, 0.3418)  6 Te 3.14-3.25
Te (0.0051, 0.5000, 0.2596)  1 Sm 3.14, 3 Pr 3.18-3.19, 2 K 3.27
Te (0.1675, 0.0000, 0.5792)  3 Sm 3.14-3.18, 3 Pr 3.19-3.23
Te (0.1726, 0.0000, 0.0892)  3 Pr 3.22-3.31, 2 Sm 3.25, 1 K 3.33


(10)
VASP calculation (GGA-PBE) on an optimized crystal structure of K4Pr3SmTe8.

Properties
* uncorrected energy: -142.5 eV for the cell shown

a = 16.0382 Å, b = 9.2596 Å, c = 9.8425 Å
α = 90.00°, β = 122.95°, γ = 90.00°
With the nearest neighbours (Å) after each atom.
Space group C2/m (No. 12)
Symmetry-distinct sites (fractional):
K (0.0000, 0.0000, 0.0000)  6 Te 3.58-3.59
K (0.0000, 0.5000, 0.0000)  6 Te 3.55
K (0.2500, 0.2500, 0.0000)  6 Te 3.55
Pr (0.0000, 0.0000, 0.5000)  6 Te 3.22
Pr (0.2500, 0.2500, 0.5000)  6 Te 3.22
Sm (0.0000, 0.5000, 0.5000)  6 Te 3.18
Te (0.0107, 0.2530, 0.2853)  1 Sm 3.18, 2 Pr 3.22, 2 K 3.55
Te (0.2364, 0.5000, 0.7147)  1 Sm 3.18, 2 Pr 3.22, 2 K 3.55
Te (0.2390, 0.0000, 0.7167)  3 Pr 3.22, 3 K 3.55


(11)
VASP calculation (GGA-PBE) on an optimized crystal structure of K3Pr2SmTe6.

Properties
* uncorrected energy: -106.9 eV for the cell shown

a = 8.0066 Å, b = 13.8701 Å, c = 8.6806 Å
α = 90.00°, β = 107.90°, γ = 90.00°
With the nearest neighbours (Å) after each atom.
Space group C2/m (No. 12)
Symmetry-distinct sites (fractional):
K (0.0000, 0.0000, 0.0000)  6 Te 3.55-3.58
K (0.0000, 0.3319, 0.0000)  6 Te 3.55-3.57
Pr (0.0000, 0.1664, 0.5000)  6 Te 3.22
Sm (0.0000, 0.5000, 0.5000)  6 Te 3.18
Te (0.2360, 0.3355, 0.7148)  1 Sm 3.18, 2 Pr 3.22, 2 K 3.55
Te (0.2429, 0.0000, 0.7152)  1 Sm 3.18, 2 Pr 3.22, 2 K 3.56


(12)
VASP calculation (GGA-PBE) on an optimized crystal structure of KPrSn4.

Properties
* formation energy from the elements: -0.313 eV/atom
* uncorrected energy: -95.1 eV for the cell shown

a = 8.9454 Å, b = 8.9454 Å, c = 8.9454 Å
α = 90.00°, β = 90.00°, γ = 90.00°
With the nearest neighbours (Å) after each atom.
Space group F-43m (No. 216)
Symmetry-distinct sites (fractional):
K (0.0000, 0.0000, 0.0000)  12 Sn 3.71, 4 Pr 3.87
Pr (0.2500, 0.2500, 0.2500)  12 Sn 3.71, 4 K 3.87
Sn (0.1242, 0.1242, 0.6242)  6 Sn 3.14-3.18